ZrCuSi | PBE | relaxed

Results
- Magnetic moment: 0.00 μB per formula unit
- E_form (uncorrected): 67 meV/atom
- Theoretical density: 6.097 g/cm³
- Symmetry: P3m1

a = 2.946 Å, b = 2.946 Å, c = 6.627 Å
α = 90.00°, β = 90.00°, γ = 120.00°
Sites, in units of the cell vectors:
1 Zr 0.000 0.000 0.000
2 Cu 0.333 0.667 0.362
3 Si 0.667 0.333 0.644